No. 1
# GGA-PBE UTiGaTc, optimized geometry
# Energy relative to the elements (eV/atom): -0.137
data_UTiGaTc
_chemical_formula_sum 'U1 Ti1 Ga1 Tc1'
_cell_length_a 4.591
_cell_length_b 4.591
_cell_length_c 4.591
_cell_angle_alpha 60.00
_cell_angle_beta 60.00
_cell_angle_gamma 60.00
_symmetry_space_group_name_H-M 'P 1'
_symmetry_Int_Tables_number 1
_symmetry_space_group_name_Hall 'P 1'
loop_
_atom_site_label
_atom_site_fract_x
_atom_site_fract_y
_atom_site_fract_z
U1 0.750 0.750 0.750
Ga1 0.250 0.250 0.250
Tc1 0.000 0.000 0.000
Ti1 0.500 0.500 0.500

***

No. 2
# GGA-PBE TiGa2TcW, optimized geometry
# Energy relative to the elements (eV/atom): 1.204
data_TiGa2TcW
_chemical_formula_sum 'Ti1 Ga2 Tc1 W1'
_cell_length_a 4.843
_cell_length_b 4.607
_cell_length_c 4.843
_cell_angle_alpha 90.00
_cell_angle_beta 90.00
_cell_angle_gamma 90.00
_symmetry_space_group_name_H-M 'P 1'
_symmetry_Int_Tables_number 1
_symmetry_space_group_name_Hall 'P 1'
loop_
_atom_site_label
_atom_site_fract_x
_atom_site_fract_y
_atom_site_fract_z
Ga1 0.500 0.000 0.000
Ga2 0.000 0.000 0.500
Tc1 0.500 0.500 0.500
W1 0.000 0.000 0.000
Ti1 0.000 0.500 0.000

***

No. 3
# GGA-PBE ZrTiGaTc, optimized geometry
# Energy relative to the elements (eV/atom): -0.390
data_ZrTiGaTc
_chemical_formula_sum 'Zr1 Ti1 Ga1 Tc1'
_cell_length_a 4.585
_cell_length_b 4.585
_cell_length_c 4.585
_cell_angle_alpha 60.00
_cell_angle_beta 60.00
_cell_angle_gamma 60.00
_symmetry_space_group_name_H-M 'P 1'
_symmetry_Int_Tables_number 1
_symmetry_space_group_name_Hall 'P 1'
loop_
_atom_site_label
_atom_site_fract_x
_atom_site_fract_y
_atom_site_fract_z
Ga1 0.500 0.500 0.500
Zr1 0.750 0.750 0.750
Ti1 0.250 0.250 0.250
Tc1 0.000 0.000 0.000

***

No. 4
# GGA-PBE TlGa3Tc, optimized geometry
# Energy relative to the elements (eV/atom): 0.031
# Distance to the lowest polymorph of the same formula (kJ/mol of formula units): 0.0
data_TlGa3Tc
_chemical_formula_sum 'Tl1 Ga3 Tc1'
_cell_length_a 4.901
_cell_length_b 4.901
_cell_length_c 4.901
_cell_angle_alpha 90.00
_cell_angle_beta 90.00
_cell_angle_gamma 90.00
_symmetry_space_group_name_H-M 'P 1'
_symmetry_Int_Tables_number 1
_symmetry_space_group_name_Hall 'P 1'
loop_
_atom_site_label
_atom_site_fract_x
_atom_site_fract_y
_atom_site_fract_z
Ga1 0.500 0.000 0.000
Ga2 0.000 0.000 0.500
Ga3 0.000 0.500 0.000
Tc1 0.000 0.000 0.000
Tl1 0.500 0.500 0.500

***

No. 5
# GGA-PBE Tl2GaTc, optimized geometry
# Energy relative to the elements (eV/atom): 0.446
# Distance to the lowest polymorph of the same formula (kJ/mol of formula units): 0.0
data_Tl2GaTc
_chemical_formula_sum 'Tl4 Ga2 Tc2'
_cell_length_a 10.505
_cell_length_b 10.505
_cell_length_c 7.816
_cell_angle_alpha 47.78
_cell_angle_beta 47.78
_cell_angle_gamma 90.00
_symmetry_space_group_name_H-M 'P 1'
_symmetry_Int_Tables_number 1
_symmetry_space_group_name_Hall 'P 1'
loop_
_atom_site_label
_atom_site_fract_x
_atom_site_fract_y
_atom_site_fract_z
Tc1 0.000 0.000 0.000
Tc2 0.750 0.250 0.500
Tl1 0.875 0.124 0.750
Tl2 0.876 0.625 0.250
Tl3 0.874 0.125 0.250
Tl4 0.375 0.126 0.750
Ga1 0.500 0.500 0.000
Ga2 0.250 0.750 0.500

***

No. 6
# GGA-PBE TlGa2Tc, optimized geometry
# Energy relative to the elements (eV/atom): 0.581
# Distance to the lowest polymorph of the same formula (kJ/mol of formula units): 49.4
data_TlGa2Tc
_chemical_formula_sum 'Tl1 Ga2 Tc1'
_cell_length_a 4.715
_cell_length_b 4.715
_cell_length_c 4.715
_cell_angle_alpha 60.00
_cell_angle_beta 60.00
_cell_angle_gamma 60.00
_symmetry_space_group_name_H-M 'P 1'
_symmetry_Int_Tables_number 1
_symmetry_space_group_name_Hall 'P 1'
loop_
_atom_site_label
_atom_site_fract_x
_atom_site_fract_y
_atom_site_fract_z
Ga1 0.750 0.750 0.750
Ga2 0.250 0.250 0.250
Tc1 0.000 0.000 0.000
Tl1 0.500 0.500 0.500

***

No. 7
# GGA-PBE Tl2GaTc, optimized geometry
# Energy relative to the elements (eV/atom): 0.779
# Distance to the lowest polymorph of the same formula (kJ/mol of formula units): 128.8
data_Tl2GaTc
_chemical_formula_sum 'Tl2 Ga1 Tc1'
_cell_length_a 4.964
_cell_length_b 4.964
_cell_length_c 4.964
_cell_angle_alpha 60.00
_cell_angle_beta 60.00
_cell_angle_gamma 60.00
_symmetry_space_group_name_H-M 'P 1'
_symmetry_Int_Tables_number 1
_symmetry_space_group_name_Hall 'P 1'
loop_
_atom_site_label
_atom_site_fract_x
_atom_site_fract_y
_atom_site_fract_z
Ga1 0.000 0.000 0.000
Tl1 0.250 0.250 0.250
Tl2 0.750 0.750 0.750
Tc1 0.500 0.500 0.500

***

No. 8
# GGA-PBE TlGa2Tc, optimized geometry
# Energy relative to the elements (eV/atom): 0.453
# Distance to the lowest polymorph of the same formula (kJ/mol of formula units): 0.0
data_TlGa2Tc
_chemical_formula_sum 'Tl2 Ga4 Tc2'
_cell_length_a 4.176
_cell_length_b 4.176
_cell_length_c 9.690
_cell_angle_alpha 77.56
_cell_angle_beta 77.56
_cell_angle_gamma 90.00
_symmetry_space_group_name_H-M 'P 1'
_symmetry_Int_Tables_number 1
_symmetry_space_group_name_Hall 'P 1'
loop_
_atom_site_label
_atom_site_fract_x
_atom_site_fract_y
_atom_site_fract_z
Ga1 0.875 0.807 0.750
Ga2 0.375 0.443 0.750
Ga3 0.557 0.125 0.250
Ga4 0.193 0.625 0.250
Tc1 0.500 0.500 0.000
Tc2 0.250 0.750 0.500
Tl1 0.750 0.250 0.500
Tl2 0.000 0.000 0.000

***

No. 9
# GGA-PBE Tm3Ga3Tc, optimized geometry
# Energy relative to the elements (eV/atom): -0.497
data_Tm3Ga3Tc
_chemical_formula_sum 'Tm6 Ga6 Tc2'
_cell_length_a 4.161
_cell_length_b 5.759
_cell_length_c 13.628
_cell_angle_alpha 84.09
_cell_angle_beta 81.22
_cell_angle_gamma 68.82
_symmetry_space_group_name_H-M 'P 1'
_symmetry_Int_Tables_number 1
_symmetry_space_group_name_Hall 'P 1'
loop_
_atom_site_label
_atom_site_fract_x
_atom_site_fract_y
_atom_site_fract_z
Ga1 0.133 0.277 0.456
Ga2 0.867 0.723 0.544
Ga3 0.966 0.836 0.231
Ga4 0.111 0.854 0.925
Ga5 0.889 0.146 0.075
Ga6 0.034 0.164 0.769
Tc1 0.767 0.067 0.400
Tc2 0.233 0.933 0.600
Tm1 0.608 0.707 0.076
Tm2 0.742 0.751 0.765
Tm3 0.528 0.325 0.619
Tm4 0.472 0.675 0.381
Tm5 0.258 0.249 0.235
Tm6 0.392 0.293 0.924

***

No. 10
# GGA-PBE TmGa6Tc2, optimized geometry
# Energy relative to the elements (eV/atom): -0.195
data_TmGa6Tc2
_chemical_formula_sum 'Tm1 Ga6 Tc2'
_cell_length_a 3.484
_cell_length_b 7.490
_cell_length_c 7.490
_cell_angle_alpha 53.41
_cell_angle_beta 76.55
_cell_angle_gamma 76.55
_symmetry_space_group_name_H-M 'P 1'
_symmetry_Int_Tables_number 1
_symmetry_space_group_name_Hall 'P 1'
loop_
_atom_site_label
_atom_site_fract_x
_atom_site_fract_y
_atom_site_fract_z
Tc1 0.868 0.632 0.632
Tc2 0.132 0.368 0.368
Ga1 0.318 0.986 0.378
Ga2 0.500 0.675 0.325
Ga3 0.318 0.378 0.986
Ga4 0.682 0.014 0.622
Ga5 0.500 0.325 0.675
Ga6 0.682 0.622 0.014
Tm1 0.000 0.000 0.000

***

No. 11
# GGA-PBE TmGa2Tc, optimized geometry
# Energy relative to the elements (eV/atom): -0.101
# Distance to the lowest polymorph of the same formula (kJ/mol of formula units): 139.7
data_TmGa2Tc
_chemical_formula_sum 'Tm1 Ga2 Tc1'
_cell_length_a 3.607
_cell_length_b 3.607
_cell_length_c 7.248
_cell_angle_alpha 75.59
_cell_angle_beta 75.59
_cell_angle_gamma 60.00
_symmetry_space_group_name_H-M 'P 1'
_symmetry_Int_Tables_number 1
_symmetry_space_group_name_Hall 'P 1'
loop_
_atom_site_label
_atom_site_fract_x
_atom_site_fract_y
_atom_site_fract_z
Ga1 0.736 0.736 0.791
Ga2 0.264 0.264 0.209
Tc1 0.000 0.000 0.000
Tm1 0.500 0.500 0.500

***

No. 12
# GGA-PBE Tm3Ga12Tc, optimized geometry
# Energy relative to the elements (eV/atom): -0.383
data_Tm3Ga12Tc
_chemical_formula_sum 'Tm3 Ga12 Tc1'
_cell_length_a 4.235
_cell_length_b 4.235
_cell_length_c 16.102
_cell_angle_alpha 90.00
_cell_angle_beta 90.00
_cell_angle_gamma 90.00
_symmetry_space_group_name_H-M 'P 1'
_symmetry_Int_Tables_number 1
_symmetry_space_group_name_Hall 'P 1'
loop_
_atom_site_label
_atom_site_fract_x
_atom_site_fract_y
_atom_site_fract_z
Ga1 0.000 0.500 0.106
Ga2 0.500 0.500 0.759
Ga3 0.500 0.500 0.241
Ga4 0.000 0.500 0.631
Ga5 0.500 0.500 0.500
Ga6 0.500 0.000 0.106
Ga7 0.500 0.000 0.369
Ga8 0.500 0.000 0.631
Ga9 0.000 0.500 0.894
Ga10 0.500 0.500 0.000
Ga11 0.000 0.500 0.369
Ga12 0.500 0.000 0.894
Tc1 0.000 0.000 0.000
Tm1 0.000 0.000 0.235
Tm2 0.000 0.000 0.765
Tm3 0.000 0.000 0.500